Entry 1:
Cd3Ag GGA-PBE optimized geometry; formation enthalpy at 0 K = -0.02 eV/atom; symmetry = Imm2, No. 44; calculated volume = 82 Å³ per cell
1.0
-3.356 -1.845 4.320
-4.030 -3.848 -1.510
5.607 1.290 0.473
Cd Ag
3 1
direct
0.491 0.500 0.991
0.593 0.256 0.336
0.080 0.744 0.336
0.003 0.000 0.003

Entry 2:
TlAuSeN2 GGA-PBE optimized geometry; symmetry = P4/mmm, No. 123; formation energy (no corrections) = 43.229 kcal/mol of atoms; calculated volume = 110 Å³ per cell
1.0
-0.956 4.131 -0.296
-3.822 -0.997 -1.571
-2.283 -0.125 5.635
Tl N Au Se
1 2 1 1
direct
0.000 0.000 0.000
0.000 0.500 0.000
0.500 0.000 0.000
0.500 0.500 0.500
0.000 0.000 0.500

Entry 3:
LiPb3Br GGA-PBE optimized geometry; symmetry = Pm-3m, No. 221; formation energy (no corrections) = 1.035 kcal/mol of atoms; calculated volume = 149 Å³ per cell
1.0
-1.732 -1.752 -4.693
-0.030 -4.962 1.863
-5.010 0.636 1.611
Li Pb Br
1 3 1
direct
0.000 0.000 0.000
0.500 0.000 0.000
0.000 0.000 0.500
0.000 0.500 0.000
0.500 0.500 0.500

Entry 4:
TaSn2P2 GGA-PBE optimized geometry; formation enthalpy at 0 K = 0.11 eV/atom; symmetry = P4/mbm, No. 127; calculated volume = 198 Å³ per cell
1.0
6.539 0.000 0.000
0.000 6.539 0.000
0.000 0.000 4.634
P Ta Sn
4 2 4
direct
0.364 0.864 0.000
0.636 0.136 0.000
0.864 0.636 0.000
0.136 0.364 0.000
0.000 0.000 0.000
0.500 0.500 0.000
0.174 0.674 0.500
0.826 0.326 0.500
0.674 0.826 0.500
0.326 0.174 0.500

Entry 5:
LaZrPa2S8 GGA-PBE optimized geometry; symmetry = P2/m, No. 10; formation energy (no corrections) = -36.854 kcal/mol of atoms; calculated volume = 324 Å³ per cell
1.0
-2.258 -0.208 6.002
-0.989 -6.057 -0.476
7.561 -1.455 2.794
S La Pa Zr
8 1 2 1
direct
0.830 0.229 0.225
0.322 0.272 0.000
0.830 0.229 0.775
0.647 0.718 0.500
0.170 0.771 0.775
0.353 0.282 0.500
0.170 0.771 0.225
0.678 0.728 0.000
0.000 0.000 0.500
0.500 0.500 0.242
0.500 0.500 0.758
0.000 0.000 0.000

Entry 6:
Ac2FeP2N6 GGA-PBE optimized geometry; symmetry = R-3m, No. 166; formation energy (no corrections) = -15.566 kcal/mol of atoms; calculated volume = 139 Å³ per cell
1.0
5.547 0.000 0.000
2.774 4.804 0.000
2.774 1.601 5.224
Ac P Fe N
2 2 1 6
direct
0.229 0.229 0.312
0.771 0.771 0.688
0.570 0.570 0.291
0.430 0.430 0.709
0.000 0.000 0.000
0.244 0.746 0.765
0.756 0.756 0.235
0.254 0.756 0.235
0.746 0.244 0.765
0.244 0.244 0.765
0.756 0.254 0.235

| no. | E (eV per atom) | N(E_F) (states/eV/f.u.) |
| --- | --- | --- |
| 1 | -1.42 | 0.97 |
| 2 | -3.28 | 3.55 |
| 3 | -2.90 | 2.67 |
| 4 | -6.02 | 3.21 |
| 5 | -7.06 | 4.90 |
| 6 | -7.72 | 3.68 |